Record 1
A plane-wave DFT calculation with PBE was carried out for a relaxed structure of MgNi2Mo.

The structure belongs to space group P4/mmm (No. 123); the cell edges are 2.733, 2.733 and 7.287 Å and the angles 90.00°, 90.00° and 90.00°. The distinct sites, in fractional coordinates, are Mg at (0.000, 0.000, 0.000), Ni at (0.500, 0.500, 0.256) and Mo at (0.000, 0.000, 0.500).

Record 2
A plane-wave DFT calculation with PBE was carried out for a relaxed structure of Mg14NiMo.

The structure belongs to space group P-6m2 (No. 187); the cell edges are 6.1899, 6.1899 and 9.8104 Å and the angles 90.00°, 90.00° and 120.00°. The distinct sites, in fractional coordinates, are Mg at (0.0000, 0.0000, 0.2478), Mg at (0.0202, 0.5101, 0.2536), Mg at (0.3322, 0.1661, 0.5000), Mg at (0.3374, 0.1687, 0.0000), Ni at (0.3333, 0.6667, 0.5000) and Mo at (0.3333, 0.6667, 0.0000).

The value obtained for the energy relative to the lowest polymorph listed for this composition is 0.00 eV/f.u.

Record 3
A plane-wave DFT calculation with PBE was carried out for a relaxed structure of MgNi2Mo.

The structure belongs to space group Pmm2 (No. 25); the cell edges are 2.763, 3.316 and 6.104 Å and the angles 90.00°, 90.00° and 90.00°. The distinct sites, in fractional coordinates, are Mg at (0.000, 0.000, 0.000), Ni at (0.000, 0.000, 0.544), Ni at (0.500, 0.500, 0.752) and Mo at (0.500, 0.500, 0.329).

Record 4
A plane-wave DFT calculation with PBE was carried out for a relaxed structure of MgNiMo2.

The structure belongs to space group Cmmm (No. 65); the cell edges are 5.148, 8.819 and 2.649 Å and the angles 90.00°, 90.00° and 90.00°. The distinct sites, in fractional coordinates, are Mg at (0.000, 0.000, 0.000), Ni at (0.000, 0.500, 0.000) and Mo at (0.250, 0.250, 0.500).

Record 5
A plane-wave DFT calculation with PBE was carried out for a relaxed structure of MgNiMo2.

The structure belongs to space group P2/m (No. 10); the cell edges are 2.648, 4.497 and 5.178 Å and the angles 90.00°, 103.38° and 90.00°. The distinct sites, in fractional coordinates, are Mg at (0.000, 0.000, 0.000), Ni at (0.000, 0.000, 0.500) and Mo at (0.481, 0.500, 0.744).

Record 6
A plane-wave DFT calculation with PBE was carried out for a relaxed structure of MgNi2Mo.

The structure belongs to space group Cmm2 (No. 35); the cell edges are 3.789, 3.798 and 7.654 Å and the angles 90.00°, 90.00° and 90.00°. The distinct sites, in fractional coordinates, are Mg at (0.000, 0.000, 0.000), Ni at (0.000, 0.000, 0.452), Ni at (0.000, 0.500, 0.244) and Mo at (0.000, 0.500, 0.691).

Record 7
A plane-wave DFT calculation with PBE was carried out for a relaxed structure of MgNiMo2.

The structure belongs to space group P4mm (No. 99); the cell edges are 2.708, 2.708 and 8.242 Å and the angles 90.00°, 90.00° and 90.00°. The distinct sites, in fractional coordinates, are Mg at (0.000, 0.000, 0.000), Ni at (0.500, 0.500, 0.769), Mo at (0.000, 0.000, 0.561) and Mo at (0.500, 0.500, 0.281).

Record 8
A plane-wave DFT calculation with PBE was carried out for a relaxed structure of Mg6NiMo.

The structure belongs to space group Amm2 (No. 38); the cell edges are 4.719, 5.861 and 10.804 Å and the angles 90.00°, 90.00° and 90.00°. The distinct sites, in fractional coordinates, are Mg at (0.000, 0.000, 0.000), Mg at (0.000, 0.238, 0.258), Mg at (0.500, 0.000, 0.843), Mg at (0.500, 0.243, 0.595), Ni at (0.000, 0.000, 0.479) and Mo at (0.500, 0.000, 0.361).

The value obtained for the energy relative to the lowest polymorph listed for this composition is 0.00 eV/f.u.

Record 9
A plane-wave DFT calculation with PBE was carried out for a relaxed structure of MgNi2Mo.

The structure belongs to space group R-3m (No. 166, hexagonal axes); the cell edges are 2.7317, 2.7317 and 25.7547 Å and the angles 90.00°, 90.00° and 120.00°. The distinct sites, in fractional coordinates, are Mg at (0.0000, 0.0000, 0.0000), Ni at (0.0000, 0.0000, 0.2487) and Mo at (0.0000, 0.0000, 0.5000).

Record 10
A plane-wave DFT calculation with PBE was carried out for a relaxed structure of MgNiMo2.

The structure belongs to space group R-3m (No. 166, hexagonal axes); the cell edges are 2.7606, 2.7606 and 27.9357 Å and the angles 90.00°, 90.00° and 120.00°. The distinct sites, in fractional coordinates, are Mg at (0.0000, 0.0000, 0.0000), Ni at (0.0000, 0.0000, 0.5000) and Mo at (0.0000, 0.0000, 0.2427).

Record 11
A plane-wave DFT calculation with PBE was carried out for a relaxed structure of MgNiMo2.

The structure belongs to space group Pmmm (No. 47); the cell edges are 2.660, 4.346 and 5.191 Å and the angles 90.00°, 90.00° and 90.00°. The distinct sites, in fractional coordinates, are Mg at (0.000, 0.000, 0.000), Ni at (0.000, 0.000, 0.500) and Mo at (0.500, 0.500, 0.257).

Record 12
A plane-wave DFT calculation with PBE was carried out for a relaxed structure of MgNi2Mo.

The structure belongs to space group I-4m2 (No. 119); the cell edges are 3.733, 3.733 and 7.756 Å and the angles 90.00°, 90.00° and 90.00°. The distinct sites, in fractional coordinates, are Mg at (0.000, 0.000, 0.000), Ni at (0.000, 0.000, 0.500), Ni at (0.000, 0.500, 0.250) and Mo at (0.000, 0.500, 0.750).

Table of N(E_F) (states/eV/cell), in record order: 4.121 5.782 2.808 9.666 3.949 9.338 3.485 10.137 12.760 11.736 4.883 8.818
Table of energy of formation from the pure elements (eV/f.u.), in record order: -0.3 1.6 0.5 1.1 0.9 0.4 0.5 1.6 0.5 1.4 1.0 0.8
Table of volume (Å³/atom), in record order: 13.607 20.345 13.978 15.032 14.995 13.769 15.113 18.675 13.870 15.364 15.003 13.511